## MnMoP2Cl (PBE)

Data for MnMoP2Cl after structural relaxation.

Summary:
* raw total energy: -30.25 eV for the cell shown
* polymorph energy (0 for the lowest one): 0.0 kJ/mol of atoms
* ρ: 3792 kg/m3
* raw formation energy: 0.4827 eV per atom

Unit cell a=4.658 b=4.658 c=5.011 alpha=90.00 beta=90.00 gamma=90.00
Space group P4/mmm (No. 123)
Asymmetric unit:
Mn 0.000 0.000 0.000 [1 per cell]
Mo 0.500 0.500 0.500 [1 per cell]
P 0.000 0.500 0.500 [2 per cell]
Cl 0.500 0.500 0.000 [1 per cell]

---

## MnMoPb2Cl (PBE)

Data for MnMoPb2Cl after structural relaxation.

Summary:
* raw total energy: -23.86 eV for the cell shown
* ρ: 7279 kg/m3
* raw formation energy: 1.0816 eV per atom

Unit cell a=5.593 b=5.593 c=4.382 alpha=90.00 beta=90.00 gamma=90.00
Space group P4/mmm (No. 123)
Asymmetric unit:
Mn 0.000 0.000 0.000 [1 per cell]
Mo 0.500 0.500 0.000 [1 per cell]
Pb 0.000 0.500 0.500 [2 per cell]
Cl 0.500 0.500 0.500 [1 per cell]

---

## RbMn2MoCl8 (PBE)

Data for RbMn2MoCl8 after structural relaxation.

Summary:
* raw total energy: -171.43 eV for the cell shown
* ρ: 2679 kg/m3
* raw formation energy: -1.0195 eV per atom

Unit cell a=6.2219 b=6.2219 c=31.8835 alpha=90.00 beta=90.00 gamma=120.00
Space group R32 (No. 155, hexagonal axes)
Asymmetric unit:
Rb 0.0000 0.0000 0.0000 [3 per cell]
Mn 0.0000 0.0000 0.2385 [6 per cell]
Mo 0.0000 0.0000 0.5000 [3 per cell]
Cl 0.0000 0.0000 0.3102 [6 per cell]
Cl 0.0128 0.3768 0.2179 [18 per cell]